No. 1
Below is an optimized crystal structure of ErTm6Cd2, with properties calculated at the PBE level.

```
data_ErTm6Cd2
_space_group_name_H-M_alt 'P 1'
_space_group_IT_number 1
_cell_length_a 3.678
_cell_length_b 6.483
_cell_length_c 11.495
_cell_angle_alpha 75.60
_cell_angle_beta 80.79
_cell_angle_gamma 73.52
loop_
_space_group_symop_operation_xyz
'x,y,z'
loop_
_atom_site_label
_atom_site_type_symbol
_atom_site_fract_x
_atom_site_fract_y
_atom_site_fract_z
_atom_site_occupancy
Tm1 Tm 0.686 0.210 0.418 1
Tm2 Tm 0.684 0.509 0.123 1
Tm3 Tm 0.986 0.689 0.339 1
Tm4 Tm 0.314 0.790 0.582 1
Tm5 Tm 0.014 0.311 0.661 1
Tm6 Tm 0.316 0.491 0.877 1
Er1 Er 0.000 0.000 0.000 1
Cd1 Cd 0.353 0.085 0.210 1
Cd2 Cd 0.647 0.915 0.790 1
```

Summary:
As for the crystal system: monoclinic. Its symmetry is No. 12.

=====

No. 2
Below is an optimized crystal structure of ErTm2Cd, with properties calculated at the PBE level.

```
data_ErTm2Cd
_space_group_name_H-M_alt 'P 1'
_space_group_IT_number 1
_cell_length_a 3.556
_cell_length_b 3.556
_cell_length_c 10.765
_cell_angle_alpha 80.49
_cell_angle_beta 80.49
_cell_angle_gamma 60.00
loop_
_space_group_symop_operation_xyz
'x,y,z'
loop_
_atom_site_label
_atom_site_type_symbol
_atom_site_fract_x
_atom_site_fract_y
_atom_site_fract_z
_atom_site_occupancy
Er1 Er 0.500 0.500 0.500 1
Cd1 Cd 0.667 0.667 0.000 1
Tm1 Tm 0.078 0.078 0.765 1
Tm2 Tm 0.255 0.255 0.234 1
```

Summary:
As for the crystal system: trigonal. Its symmetry is No. 160. As for the energy relative to the lowest polymorph listed for this composition: 29 kJ/mol of formula units.

=====

No. 3
Below is an optimized crystal structure of Er7TmCd2, with properties calculated at the PBE level.

```
data_Er7TmCd2
_space_group_name_H-M_alt 'P 1'
_space_group_IT_number 1
_cell_length_a 5.150
_cell_length_b 9.014
_cell_length_c 9.014
_cell_angle_alpha 120.99
_cell_angle_beta 90.00
_cell_angle_gamma 90.00
loop_
_space_group_symop_operation_xyz
'x,y,z'
loop_
_atom_site_label
_atom_site_type_symbol
_atom_site_fract_x
_atom_site_fract_y
_atom_site_fract_z
_atom_site_occupancy
Er1 Er 0.500 0.298 0.066 1
Er2 Er 0.500 0.500 0.500 1
Er3 Er 0.000 0.779 0.221 1
Er4 Er 0.000 0.221 0.779 1
Er5 Er 0.500 0.934 0.702 1
Er6 Er 0.500 0.066 0.298 1
Er7 Er 0.500 0.702 0.934 1
Cd1 Cd 0.500 0.304 0.696 1
Cd2 Cd 0.500 0.696 0.304 1
Tm1 Tm 0.000 0.000 0.000 1
```

Summary:
As for the crystal system: orthorhombic. Its symmetry is No. 65.

=====

No. 4
Below is an optimized crystal structure of Er2Tm3Cd, with properties calculated at the PBE level.

```
data_Er2Tm3Cd
_space_group_name_H-M_alt 'P 1'
_space_group_IT_number 1
_cell_length_a 6.491
_cell_length_b 6.602
_cell_length_c 8.885
_cell_angle_alpha 97.70
_cell_angle_beta 111.42
_cell_angle_gamma 90.00
loop_
_space_group_symop_operation_xyz
'x,y,z'
loop_
_atom_site_label
_atom_site_type_symbol
_atom_site_fract_x
_atom_site_fract_y
_atom_site_fract_z
_atom_site_occupancy
Er1 Er 0.749 0.650 0.356 1
Er2 Er 0.608 0.150 0.356 1
Er3 Er 0.251 0.350 0.644 1
Er4 Er 0.392 0.850 0.644 1
Tm1 Tm 0.206 0.509 0.289 1
Tm2 Tm 0.700 0.250 0.000 1
Tm3 Tm 0.083 0.009 0.289 1
Tm4 Tm 0.917 0.991 0.711 1
Tm5 Tm 0.300 0.750 0.000 1
Tm6 Tm 0.794 0.491 0.711 1
Cd1 Cd 0.768 0.750 0.000 1
Cd2 Cd 0.232 0.250 0.000 1
```

Summary:
As for the crystal system: monoclinic. Its symmetry is No. 15. As for the energy relative to the lowest polymorph listed for this composition: 42 kJ/mol of formula units.

=====

No. 5
Below is an optimized crystal structure of ErTmCd14, with properties calculated at the PBE level.

```
data_ErTmCd14
_space_group_name_H-M_alt 'P 1'
_space_group_IT_number 1
_cell_length_a 6.558
_cell_length_b 6.558
_cell_length_c 8.514
_cell_angle_alpha 90.00
_cell_angle_beta 90.00
_cell_angle_gamma 89.99
loop_
_space_group_symop_operation_xyz
'x,y,z'
loop_
_atom_site_label
_atom_site_type_symbol
_atom_site_fract_x
_atom_site_fract_y
_atom_site_fract_z
_atom_site_occupancy
Cd1 Cd 0.875 0.875 0.000 1
Cd2 Cd 0.625 0.125 0.244 1
Cd3 Cd 0.875 0.375 0.000 1
Cd4 Cd 0.625 0.625 0.756 1
Cd5 Cd 0.375 0.375 0.000 1
Cd6 Cd 0.125 0.625 0.244 1
Cd7 Cd 0.125 0.125 0.244 1
Cd8 Cd 0.375 0.875 0.500 1
Cd9 Cd 0.125 0.125 0.756 1
Cd10 Cd 0.875 0.375 0.500 1
Cd11 Cd 0.375 0.875 0.000 1
Cd12 Cd 0.125 0.625 0.756 1
Cd13 Cd 0.625 0.125 0.756 1
Cd14 Cd 0.625 0.625 0.244 1
Tm1 Tm 0.375 0.375 0.500 1
Er1 Er 0.875 0.875 0.500 1
```

Summary:
As for the crystal system: tetragonal. Its symmetry is No. 123.

=====

No. 6
Below is an optimized crystal structure of ErTm8Cd2, with properties calculated at the PBE level.

```
data_ErTm8Cd2
_space_group_name_H-M_alt 'P 1'
_space_group_IT_number 1
_cell_length_a 5.456
_cell_length_b 8.607
_cell_length_c 8.607
_cell_angle_alpha 119.15
_cell_angle_beta 100.99
_cell_angle_gamma 100.99
loop_
_space_group_symop_operation_xyz
'x,y,z'
loop_
_atom_site_label
_atom_site_type_symbol
_atom_site_fract_x
_atom_site_fract_y
_atom_site_fract_z
_atom_site_occupancy
Tm1 Tm 0.500 0.220 0.780 1
Tm2 Tm 0.701 0.398 0.398 1
Tm3 Tm 0.500 0.780 0.220 1
Tm4 Tm 0.114 0.320 0.093 1
Tm5 Tm 0.886 0.907 0.680 1
Tm6 Tm 0.886 0.680 0.907 1
Tm7 Tm 0.299 0.602 0.602 1
Tm8 Tm 0.114 0.093 0.320 1
Cd1 Cd 0.000 0.307 0.693 1
Cd2 Cd 0.000 0.693 0.307 1
Er1 Er 0.500 0.000 0.000 1
```

Summary:
As for the crystal system: monoclinic. Its symmetry is No. 12.

=====

Number 1: energy of formation from the pure elements -2.8 kcal/mol of atoms, total energy -3.813 eV/atom, density of states at the Fermi level 1.087 states/eV/atom. Number 2: energy of formation from the pure elements -1.6 kcal/mol of atoms, total energy -3.673 eV/atom, density of states at the Fermi level 1.384 states/eV/atom. Number 3: energy of formation from the pure elements 9.7 kcal/mol of atoms, total energy -3.405 eV/atom, density of states at the Fermi level 1.818 states/eV/atom. Number 4: energy of formation from the pure elements -0.4 kcal/mol of atoms, total energy -3.924 eV/atom, density of states at the Fermi level 0.945 states/eV/atom. Number 5: energy of formation from the pure elements -2.8 kcal/mol of atoms, total energy -1.489 eV/atom, density of states at the Fermi level 0.343 states/eV/atom. Number 6: energy of formation from the pure elements 1.1 kcal/mol of atoms, total energy -3.785 eV/atom, density of states at the Fermi level 1.372 states/eV/atom.